Run P
CaBe2Br after structural relaxation, computed with GGA-PBE. Values from VASP.

Values from the calculation:
The space group is Imm2, No. 44.

```
&SYSTEM
  ibrav = 0, nat = 4, ntyp = 3
/
ATOMIC_SPECIES
Ca 40.08 Ca.upf
Be 9.01 Be.upf
Br 79.90 Br.upf
CELL_PARAMETERS angstrom
-2.0578 2.7735 4.2883
2.0578 -2.7735 4.2883
2.0578 2.7735 -4.2883
ATOMIC_POSITIONS crystal
Ca 0.0000 0.0000 0.0000
Be 0.2877 0.7877 0.5000
Be 0.3303 0.3303 0.0000
Br 0.7575 0.2575 0.5000
```

Run Q
CaBe2Br after structural relaxation, computed with GGA-PBE. Values from VASP.

Values from the calculation:
The space group is P3m1, No. 156.

```
&SYSTEM
  ibrav = 0, nat = 4, ntyp = 3
/
ATOMIC_SPECIES
Ca 40.08 Ca.upf
Be 9.01 Be.upf
Br 79.90 Br.upf
CELL_PARAMETERS angstrom
3.9877 0.0000 0.0000
-1.9939 3.4535 0.0000
0.0000 0.0000 6.2532
ATOMIC_POSITIONS crystal
Ca 0.0000 0.0000 0.0000
Be 0.3333 0.6667 0.6932
Be 0.6667 0.3333 0.7158
Br 0.3333 0.6667 0.3061
```

List of relative energies, unit meV per atom: run P 296; run Q 0

Run P
CaBe2Br after structural relaxation, computed with GGA-PBE. Values from VASP.

Values from the calculation:
The space group is F-43m, No. 216.

```
&SYSTEM
  ibrav = 0, nat = 4, ntyp = 3
/
ATOMIC_SPECIES
Ca 40.08 Ca.upf
Be 9.01 Be.upf
Br 79.90 Br.upf
CELL_PARAMETERS angstrom
0.0000 3.4216 3.4216
3.4216 0.0000 3.4216
3.4216 3.4216 0.0000
ATOMIC_POSITIONS crystal
Ca 0.0000 0.0000 0.0000
Be 0.5000 0.5000 0.5000
Be 0.7500 0.7500 0.7500
Br 0.2500 0.2500 0.2500
```

Run Q
CaBe2Br after structural relaxation, computed with GGA-PBE. Values from VASP.

Values from the calculation:
The space group is C2/m, No. 12.

```
&SYSTEM
  ibrav = 0, nat = 4, ntyp = 3
/
ATOMIC_SPECIES
Ca 40.08 Ca.upf
Be 9.01 Be.upf
Br 79.90 Br.upf
CELL_PARAMETERS angstrom
2.7102 -5.5700 0.0000
2.7102 5.5700 0.0000
-2.6096 0.0000 2.7878
ATOMIC_POSITIONS crystal
Ca 0.0000 0.0000 0.0000
Be 0.0000 0.5000 0.5000
Be 0.5000 0.0000 0.5000
Br 0.5000 0.5000 0.0000
```

List of relative energies, unit meV per atom: run P 198; run Q 0

Run P
BeCdBr2 after structural relaxation, computed with GGA-PBE. Values from VASP.

Values from the calculation:
The space group is C2/m, No. 12.

```
&SYSTEM
  ibrav = 0, nat = 4, ntyp = 3
/
ATOMIC_SPECIES
Be 9.01 Be.upf
Cd 112.41 Cd.upf
Br 79.90 Br.upf
CELL_PARAMETERS angstrom
3.9448 -3.9616 0.0000
3.9448 3.9616 0.0000
-2.0385 0.0000 3.6240
ATOMIC_POSITIONS crystal
Be 0.0000 0.0000 0.0000
Cd 0.5000 0.5000 0.0000
Br 0.0000 0.5000 0.0000
Br 0.5000 0.0000 0.0000
```

Run Q
BeCdBr2 after structural relaxation, computed with GGA-PBE. Values from VASP.

Values from the calculation:
The space group is R-3m, No. 166.

```
&SYSTEM
  ibrav = 0, nat = 4, ntyp = 3
/
ATOMIC_SPECIES
Be 9.01 Be.upf
Cd 112.41 Cd.upf
Br 79.90 Br.upf
CELL_PARAMETERS angstrom
1.7299 0.9988 10.5886
-1.7299 0.9988 10.5886
0.0000 -1.9975 10.5886
ATOMIC_POSITIONS crystal
Be 0.0000 0.0000 0.0000
Cd 0.5000 0.5000 0.5000
Br 0.3767 0.3767 0.3767
Br 0.6233 0.6233 0.6233
```

List of relative energies, unit meV per atom: run P 693; run Q 0

Run P
BeCdBr2 after structural relaxation, computed with GGA-PBE. Values from VASP.

Values from the calculation:
The space group is P4/mmm, No. 123.

```
&SYSTEM
  ibrav = 0, nat = 4, ntyp = 3
/
ATOMIC_SPECIES
Be 9.01 Be.upf
Cd 112.41 Cd.upf
Br 79.90 Br.upf
CELL_PARAMETERS angstrom
5.0484 0.0000 0.0000
0.0000 5.0484 0.0000
0.0000 0.0000 3.6037
ATOMIC_POSITIONS crystal
Be 0.0000 0.0000 0.0000
Cd 0.5000 0.5000 0.0000
Br 0.0000 0.5000 0.5000
Br 0.5000 0.0000 0.5000
```

Run Q
BeCdBr2 after structural relaxation, computed with GGA-PBE. Values from VASP.

Values from the calculation:
The space group is Cmm2, No. 35.

```
&SYSTEM
  ibrav = 0, nat = 4, ntyp = 3
/
ATOMIC_SPECIES
Be 9.01 Be.upf
Cd 112.41 Cd.upf
Br 79.90 Br.upf
CELL_PARAMETERS angstrom
1.7123 -3.7056 0.0000
1.7123 3.7056 0.0000
0.0000 0.0000 9.0820
ATOMIC_POSITIONS crystal
Be 0.0000 0.0000 0.0000
Cd 0.5000 0.5000 0.2342
Br 0.0000 0.0000 0.4628
Br 0.5000 0.5000 0.8450
```

List of relative energies, unit meV per atom: run P 574; run Q 0

Run P
BeCdBr2 after structural relaxation, computed with GGA-PBE. Values from VASP.

Values from the calculation:
The space group is I-42d, No. 122.

```
&SYSTEM
  ibrav = 0, nat = 8, ntyp = 3
/
ATOMIC_SPECIES
Be 9.01 Be.upf
Cd 112.41 Cd.upf
Br 79.90 Br.upf
CELL_PARAMETERS angstrom
-3.5596 3.5596 4.7118
3.5596 -3.5596 4.7118
3.5596 3.5596 -4.7118
ATOMIC_POSITIONS crystal
Be 0.0000 0.0000 0.0000
Be 0.7500 0.2500 0.5000
Cd 0.2500 0.7500 0.5000
Cd 0.5000 0.5000 0.0000
Br 0.3750 0.0343 0.1593
Br 0.7843 0.6250 0.6593
Br 0.8750 0.2157 0.8407
Br 0.9657 0.1250 0.3407
```

Run Q
BeCdBr2 after structural relaxation, computed with GGA-PBE. Values from VASP.

Values from the calculation:
The space group is P4mm, No. 99.

```
&SYSTEM
  ibrav = 0, nat = 4, ntyp = 3
/
ATOMIC_SPECIES
Be 9.01 Be.upf
Cd 112.41 Cd.upf
Br 79.90 Br.upf
CELL_PARAMETERS angstrom
3.3478 0.0000 0.0000
0.0000 3.3478 0.0000
0.0000 0.0000 8.4198
ATOMIC_POSITIONS crystal
Be 0.0000 0.0000 0.0000
Cd 0.5000 0.5000 0.7319
Br 0.0000 0.0000 0.5202
Br 0.5000 0.5000 0.1327
```

List of relative energies, unit meV per atom: run P 0; run Q 530

Run P
BeCdBr2 after structural relaxation, computed with GGA-PBE. Values from VASP.

Values from the calculation:
The space group is R3m, No. 160.

```
&SYSTEM
  ibrav = 0, nat = 4, ntyp = 3
/
ATOMIC_SPECIES
Be 9.01 Be.upf
Cd 112.41 Cd.upf
Br 79.90 Br.upf
CELL_PARAMETERS angstrom
1.7881 1.0324 8.6407
-1.7881 1.0324 8.6407
0.0000 -2.0648 8.6407
ATOMIC_POSITIONS crystal
Be 0.0000 0.0000 0.0000
Cd 0.7425 0.7425 0.7425
Br 0.2864 0.2864 0.2864
Br 0.4820 0.4820 0.4820
```

Run Q
BeCdBr2 after structural relaxation, computed with GGA-PBE. Values from VASP.

Values from the calculation:
The space group is Pmmm, No. 47.

```
&SYSTEM
  ibrav = 0, nat = 4, ntyp = 3
/
ATOMIC_SPECIES
Be 9.01 Be.upf
Cd 112.41 Cd.upf
Br 79.90 Br.upf
CELL_PARAMETERS angstrom
3.9561 0.0000 0.0000
0.0000 3.9691 0.0000
0.0000 0.0000 7.1072
ATOMIC_POSITIONS crystal
Be 0.0000 0.0000 0.0000
Cd 0.0000 0.5000 0.5000
Br 0.5000 0.0000 0.5000
Br 0.5000 0.5000 0.0000
```

Run R
BeCdBr2 after structural relaxation, computed with GGA-PBE. Values from VASP.

Values from the calculation:
The space group is P4/mmm, No. 123.

```
&SYSTEM
  ibrav = 0, nat = 4, ntyp = 3
/
ATOMIC_SPECIES
Be 9.01 Be.upf
Cd 112.41 Cd.upf
Br 79.90 Br.upf
CELL_PARAMETERS angstrom
3.2519 0.0000 0.0000
0.0000 3.2519 0.0000
0.0000 0.0000 9.6269
ATOMIC_POSITIONS crystal
Be 0.0000 0.0000 0.0000
Cd 0.0000 0.0000 0.5000
Br 0.5000 0.5000 0.1596
Br 0.5000 0.5000 0.8404
```

Run S
BeCdBr2 after structural relaxation, computed with GGA-PBE. Values from VASP.

Values from the calculation:
The space group is R-3m, No. 166.

```
&SYSTEM
  ibrav = 0, nat = 4, ntyp = 3
/
ATOMIC_SPECIES
Be 9.01 Be.upf
Cd 112.41 Cd.upf
Br 79.90 Br.upf
CELL_PARAMETERS angstrom
2.1724 1.2542 10.7725
-2.1724 1.2542 10.7725
0.0000 -2.5085 10.7725
ATOMIC_POSITIONS crystal
Be 0.0000 0.0000 0.0000
Cd 0.5000 0.5000 0.5000
Br 0.0602 0.0602 0.0602
Br 0.9398 0.9398 0.9398
```

List of relative energies, unit meV per atom: run P 53; run Q 622; run R 479; run S 0

Run P
BeCdBr2 after structural relaxation, computed with GGA-PBE. Values from VASP.

Values from the calculation:
The space group is P2/m, No. 10.

```
&SYSTEM
  ibrav = 0, nat = 4, ntyp = 3
/
ATOMIC_SPECIES
Be 9.01 Be.upf
Cd 112.41 Cd.upf
Br 79.90 Br.upf
CELL_PARAMETERS angstrom
4.0842 0.0000 0.0000
0.0000 3.2839 0.0000
-1.1657 0.0000 9.5620
ATOMIC_POSITIONS crystal
Be 0.0000 0.0000 0.0000
Cd 0.5000 0.0000 0.5000
Br 0.1020 0.5000 0.8466
Br 0.8980 0.5000 0.1534
```

Run Q
BeCdBr2 after structural relaxation, computed with GGA-PBE. Values from VASP.

Values from the calculation:
The space group is Imm2, No. 44.

```
&SYSTEM
  ibrav = 0, nat = 4, ntyp = 3
/
ATOMIC_SPECIES
Be 9.01 Be.upf
Cd 112.41 Cd.upf
Br 79.90 Br.upf
CELL_PARAMETERS angstrom
-1.6946 3.7909 4.5822
1.6946 -3.7909 4.5822
1.6946 3.7909 -4.5822
ATOMIC_POSITIONS crystal
Be 0.0000 0.0000 0.0000
Cd 0.2293 0.7293 0.5000
Br 0.4711 0.4711 0.0000
Br 0.8460 0.3460 0.5000
```

List of relative energies, unit meV per atom: run P 0; run Q 134

Run P
BeCdBr after structural relaxation, computed with GGA-PBE. Values from VASP.

Values from the calculation:
The space group is I4mm, No. 107.

```
&SYSTEM
  ibrav = 0, nat = 3, ntyp = 3
/
ATOMIC_SPECIES
Be 9.01 Be.upf
Cd 112.41 Cd.upf
Br 79.90 Br.upf
CELL_PARAMETERS angstrom
-1.6237 1.6237 5.8806
1.6237 -1.6237 5.8806
1.6237 1.6237 -5.8806
ATOMIC_POSITIONS crystal
Be 0.0000 0.0000 0.0000
Cd 0.6267 0.6267 0.0000
Br 0.3673 0.3673 0.0000
```

Run Q
BeCdBr after structural relaxation, computed with GGA-PBE. Values from VASP.

Values from the calculation:
The space group is P3m1, No. 156.

```
&SYSTEM
  ibrav = 0, nat = 3, ntyp = 3
/
ATOMIC_SPECIES
Be 9.01 Be.upf
Cd 112.41 Cd.upf
Br 79.90 Br.upf
CELL_PARAMETERS angstrom
3.4365 0.0000 0.0000
-1.7183 2.9761 0.0000
0.0000 0.0000 6.6064
ATOMIC_POSITIONS crystal
Be 0.0000 0.0000 0.0000
Cd 0.6667 0.3333 0.7346
Br 0.3333 0.6667 0.2019
```

Run R
BeCdBr after structural relaxation, computed with GGA-PBE. Values from VASP.

Values from the calculation:
The space group is F-43m, No. 216.

```
&SYSTEM
  ibrav = 0, nat = 3, ntyp = 3
/
ATOMIC_SPECIES
Be 9.01 Be.upf
Cd 112.41 Cd.upf
Br 79.90 Br.upf
CELL_PARAMETERS angstrom
0.0000 3.3084 3.3084
3.3084 0.0000 3.3084
3.3084 3.3084 0.0000
ATOMIC_POSITIONS crystal
Be 0.0000 0.0000 0.0000
Cd 0.7500 0.7500 0.7500
Br 0.2500 0.2500 0.2500
```

List of relative energies, unit meV per atom: run P 247; run Q 0; run R 528